Compound: SrThAu2
Source: Alexandria
Functional: GGA-PBE
Structure: optimized geometry

Cell lengths 3.7440, 3.7440, 7.7995 Å; angles 90.00, 90.00, 90.00 degrees
Space group P4/mmm (No. 123)
Unique sites:
1 Sr 0.0000 0.0000 0.0000
2 Th 0.0000 0.0000 0.5000
3 Au 0.5000 0.5000 0.2776

Summary:
Energy of formation from the pure elements ... -0.6439 eV/atom